# 1
RePSe | PBE | relaxed

```
RePSe
1.0
0.000 2.968 2.968
2.968 0.000 2.968
2.968 2.968 0.000
Re P Se
1 1 1
direct
0.000 0.000 0.000
0.250 0.250 0.250
0.750 0.750 0.750
```

# 2
RePSe2 | PBE | relaxed

```
RePSe2
1.0
3.177 0.000 0.000
0.000 3.177 0.000
0.000 0.000 7.307
Re P Se
1 1 2
direct
0.000 0.000 0.000
0.500 0.500 0.836
0.000 0.000 0.643
0.500 0.500 0.225
```

In order of appearance, energy relative to the elements, uncorrected = 0.70; 1.22 eV per formula unit.